[1]
# Ho6MgAl PBE relaxed
# E (eV/atom): -4.114
# Formation enthalpy at 0 K (kJ per mole of atoms): -1.3
data_Ho6MgAl
_chemical_formula_sum 'Ho6 Mg1 Al1'
_symmetry_space_group_name_H-M 'P -1'
_symmetry_Int_Tables_number 2
_cell_length_a 6.0976
_cell_length_b 6.1009
_cell_length_c 6.1104
_cell_angle_alpha 91.55
_cell_angle_beta 91.66
_cell_angle_gamma 91.68
loop_
_symmetry_equiv_pos_as_xyz
'x,y,z'
'-x,-y,-z'
loop_
_atom_site_label
_atom_site_fract_x
_atom_site_fract_y
_atom_site_fract_z
_atom_site_occupancy
Ho1 0.0189 0.0356 0.2555 1
Ho2 0.2444 0.4815 0.9634 1
Ho3 0.4646 0.7445 0.4801 1
Mg1 0.5000 0.0000 0.0000 1
Al1 0.0000 0.5000 0.5000 1

---

[2]
# Ho5MgAl2 PBE relaxed
# E (eV/atom): -4.099
# Formation enthalpy at 0 K (kJ per mole of atoms): -9.9
data_Ho5MgAl2
_chemical_formula_sum 'Ho20 Mg4 Al8'
_symmetry_space_group_name_H-M 'C m c m'
_symmetry_Int_Tables_number 63
_symmetry_space_group_name_Hall '-C 2c 2'
_cell_length_a 4.6163
_cell_length_b 10.9260
_cell_length_c 16.5351
_cell_angle_alpha 90.00
_cell_angle_beta 90.00
_cell_angle_gamma 90.00
loop_
_atom_site_label
_atom_site_fract_x
_atom_site_fract_y
_atom_site_fract_z
_atom_site_occupancy
Ho1 0.0000 0.0255 0.2500 1
Ho2 0.0000 0.1575 0.0421 1
Ho3 0.0000 0.4565 0.0997 1
Mg1 0.0000 0.3023 0.2500 1
Al1 0.0000 0.2609 0.6571 1

---

[3]
# Ho5Mg4Al4 PBE relaxed
# E (eV/atom): -3.639
# Formation enthalpy at 0 K (kJ per mole of atoms): -22.8
data_Ho5Mg4Al4
_chemical_formula_sum 'Ho10 Mg8 Al8'
_symmetry_space_group_name_H-M 'I 4/m'
_symmetry_Int_Tables_number 87
_symmetry_space_group_name_Hall '-I 4'
_cell_length_a 11.8915
_cell_length_b 11.8915
_cell_length_c 4.5165
_cell_angle_alpha 90.00
_cell_angle_beta 90.00
_cell_angle_gamma 90.00
loop_
_atom_site_label
_atom_site_fract_x
_atom_site_fract_y
_atom_site_fract_z
_atom_site_occupancy
Ho1 0.0000 0.0000 0.0000 1
Ho2 0.1227 0.1959 0.5000 1
Mg1 0.0859 0.6078 0.5000 1
Al1 0.0666 0.7512 0.0000 1

---

[4]
# Ho4MgAl2 PBE relaxed
# E (eV/atom): -3.967
# Polymorph energy (0 for the lowest one) (meV/atom): 140
# Formation enthalpy at 0 K (kJ per mole of atoms): -5.2
data_Ho4MgAl2
_chemical_formula_sum 'Ho8 Mg2 Al4'
_symmetry_space_group_name_H-M 'P 1 21/m 1'
_symmetry_Int_Tables_number 11
_cell_length_a 7.1806
_cell_length_b 6.4754
_cell_length_c 8.6944
_cell_angle_alpha 90.00
_cell_angle_beta 111.48
_cell_angle_gamma 90.00
loop_
_symmetry_equiv_pos_as_xyz
'x,y,z'
'-x,-y,-z'
'-x,y+1/2,-z'
'x,-y+1/2,z'
loop_
_atom_site_label
_atom_site_fract_x
_atom_site_fract_y
_atom_site_fract_z
_atom_site_occupancy
Ho1 0.0391 0.2500 0.4096 1
Ho2 0.1062 0.7500 0.2663 1
Ho3 0.3966 0.0139 0.7667 1
Mg1 0.2062 0.2500 0.0978 1
Al1 0.2187 0.7500 0.9670 1
Al2 0.4795 0.2500 0.4703 1

---

[5]
# Ho3MgAl PBE relaxed
# E (eV/atom): -4.009
# Polymorph energy (0 for the lowest one) (meV/atom): 0
# Formation enthalpy at 0 K (kJ per mole of atoms): -18.8
data_Ho3MgAl
_chemical_formula_sum 'Ho12 Mg4 Al4'
_symmetry_space_group_name_H-M 'C m c m'
_symmetry_Int_Tables_number 63
_symmetry_space_group_name_Hall '-C 2c 2'
_cell_length_a 5.1054
_cell_length_b 20.1503
_cell_length_c 5.1042
_cell_angle_alpha 90.00
_cell_angle_beta 90.00
_cell_angle_gamma 90.00
loop_
_atom_site_label
_atom_site_fract_x
_atom_site_fract_y
_atom_site_fract_z
_atom_site_occupancy
Ho1 0.0000 0.0620 0.2500 1
Ho2 0.0000 0.2495 0.2500 1
Ho3 0.0000 0.4368 0.2500 1
Mg1 0.0000 0.1570 0.7500 1
Al1 0.0000 0.3411 0.7500 1

---

[6]
# Ho2MgAl2 PBE relaxed
# E (eV/atom): -3.986
# Formation enthalpy at 0 K (kJ per mole of atoms): -32.7
data_Ho2MgAl2
_chemical_formula_sum 'Ho4 Mg2 Al4'
_symmetry_space_group_name_H-M 'C m m m'
_symmetry_Int_Tables_number 65
_symmetry_space_group_name_Hall '-C 2 2'
_cell_length_a 4.4555
_cell_length_b 14.9343
_cell_length_c 3.5457
_cell_angle_alpha 90.00
_cell_angle_beta 90.00
_cell_angle_gamma 90.00
loop_
_atom_site_label
_atom_site_fract_x
_atom_site_fract_y
_atom_site_fract_z
_atom_site_occupancy
Ho1 0.0000 0.1235 0.0000 1
Mg1 0.0000 0.5000 0.5000 1
Al1 0.0000 0.2976 0.5000 1

---

[7]
# Ho7MgAl4 PBE relaxed
# E (eV/atom): -4.116
# Formation enthalpy at 0 K (kJ per mole of atoms): -6.3
data_Ho7MgAl4
_chemical_formula_sum 'Ho14 Mg2 Al8'
_symmetry_space_group_name_H-M 'C 1 2/m 1'
_symmetry_Int_Tables_number 12
_cell_length_a 13.8868
_cell_length_b 5.5881
_cell_length_c 9.2497
_cell_angle_alpha 90.00
_cell_angle_beta 119.40
_cell_angle_gamma 90.00
loop_
_symmetry_equiv_pos_as_xyz
'x,y,z'
'-x,-y,-z'
'-x,y,-z'
'x,-y,z'
'x+1/2,y+1/2,z'
'-x+1/2,-y+1/2,-z'
'-x+1/2,y+1/2,-z'
'x+1/2,-y+1/2,z'
loop_
_atom_site_label
_atom_site_fract_x
_atom_site_fract_y
_atom_site_fract_z
_atom_site_occupancy
Ho1 0.0000 0.0000 0.0000 1
Ho2 0.0821 0.5000 0.4231 1
Ho3 0.1936 0.5000 0.8703 1
Ho4 0.2449 0.0000 0.7083 1
Mg1 0.0000 0.5000 0.0000 1
Al1 0.0257 0.0000 0.6713 1
Al2 0.1736 0.0000 0.3398 1

---

[8]
# Ho8MgAl5 PBE relaxed
# E (eV/atom): -4.204
# Formation enthalpy at 0 K (kJ per mole of atoms): -13.3
data_Ho8MgAl5
_chemical_formula_sum 'Ho16 Mg2 Al10'
_symmetry_space_group_name_H-M 'I -4'
_symmetry_Int_Tables_number 82
_cell_length_a 9.0455
_cell_length_b 9.0455
_cell_length_c 9.0885
_cell_angle_alpha 90.00
_cell_angle_beta 90.00
_cell_angle_gamma 90.00
loop_
_symmetry_equiv_pos_as_xyz
'x,y,z'
'y,-x,-z'
'-x,-y,z'
'-y,x,-z'
'x+1/2,y+1/2,z+1/2'
'y+1/2,-x+1/2,-z+1/2'
'-x+1/2,-y+1/2,z+1/2'
'-y+1/2,x+1/2,-z+1/2'
loop_
_atom_site_label
_atom_site_fract_x
_atom_site_fract_y
_atom_site_fract_z
_atom_site_occupancy
Ho1 0.0749 0.3377 0.4579 1
Ho2 0.0791 0.1827 0.8206 1
Mg1 0.0000 0.0000 0.5000 1
Al1 0.0000 0.5000 0.7500 1
Al2 0.1311 0.2537 0.1386 1

---

[9]
# Ho6Mg2Al PBE relaxed
# E (eV/atom): -3.855
# Formation enthalpy at 0 K (kJ per mole of atoms): -3.2
data_Ho6Mg2Al
_chemical_formula_sum 'Ho24 Mg8 Al4'
_symmetry_space_group_name_H-M 'I m m m'
_symmetry_Int_Tables_number 71
_symmetry_space_group_name_Hall '-I 2 2'
_cell_length_a 9.5903
_cell_length_b 10.1138
_cell_length_c 10.4883
_cell_angle_alpha 90.00
_cell_angle_beta 90.00
_cell_angle_gamma 90.00
loop_
_atom_site_label
_atom_site_fract_x
_atom_site_fract_y
_atom_site_fract_z
_atom_site_occupancy
Ho1 0.0000 0.1780 0.2447 1
Ho2 0.1736 0.5000 0.2536 1
Ho3 0.2381 0.3079 0.0000 1
Mg1 0.0000 0.3646 0.5000 1
Mg2 0.1430 0.0000 0.0000 1
Al1 0.0000 0.0000 0.5000 1
Al2 0.0000 0.5000 0.0000 1

---

[10]
# Ho4Mg2Al PBE relaxed
# E (eV/atom): -3.578
# Formation enthalpy at 0 K (kJ per mole of atoms): 2.7
data_Ho4Mg2Al
_chemical_formula_sum 'Ho12 Mg6 Al3'
_symmetry_space_group_name_H-M 'R -3 m'
_symmetry_Int_Tables_number 166
_symmetry_space_group_name_Hall '-R 3 2"'
_cell_length_a 5.1740
_cell_length_b 5.1740
_cell_length_c 25.2306
_cell_angle_alpha 90.00
_cell_angle_beta 90.00
_cell_angle_gamma 120.00
loop_
_atom_site_label
_atom_site_fract_x
_atom_site_fract_y
_atom_site_fract_z
_atom_site_occupancy
Ho1 0.0000 0.0000 0.1217 1
Ho2 0.0000 0.0000 0.3737 1
Mg1 0.0000 0.0000 0.2459 1
Al1 0.0000 0.0000 0.5000 1

---

[11]
# HoMgAlO4 PBE relaxed
# E (eV/atom): -7.235
# Formation energy from raw total energies (eV/atom): -2.986
data_HoMgAlO4
_chemical_formula_sum 'Ho4 Mg4 Al4 O16'
_symmetry_space_group_name_H-M 'I m m a'
_symmetry_Int_Tables_number 74
_symmetry_space_group_name_Hall '-I 2b 2'
_cell_length_a 6.0962
_cell_length_b 6.3174
_cell_length_c 8.6117
_cell_angle_alpha 90.00
_cell_angle_beta 90.00
_cell_angle_gamma 90.00
loop_
_atom_site_label
_atom_site_fract_x
_atom_site_fract_y
_atom_site_fract_z
_atom_site_occupancy
Ho1 0.0000 0.0000 0.0000 1
Mg1 0.2500 0.2500 0.2500 1
Al1 0.0000 0.2500 0.6227 1
O1 0.0000 0.0039 0.7402 1
O2 0.2415 0.2500 0.4959 1

---

[12]
# Ho2MgAl4Pd3 PBE relaxed
# E (eV/atom): -4.837
# Formation enthalpy at 0 K (kJ per mole of atoms): -68.3
data_Ho2MgAl4Pd3
_chemical_formula_sum 'Ho2 Mg1 Al4 Pd3'
_symmetry_space_group_name_H-M 'P -4 m 2'
_symmetry_Int_Tables_number 115
_cell_length_a 4.0847
_cell_length_b 4.0847
_cell_length_c 11.4886
_cell_angle_alpha 90.00
_cell_angle_beta 90.00
_cell_angle_gamma 90.00
loop_
_symmetry_equiv_pos_as_xyz
'x,y,z'
'y,-x,-z'
'-x,-y,z'
'-y,x,-z'
'-x,y,z'
'-y,-x,-z'
'x,-y,z'
'y,x,-z'
loop_
_atom_site_label
_atom_site_fract_x
_atom_site_fract_y
_atom_site_fract_z
_atom_site_occupancy
Ho1 0.0000 0.5000 0.2366 1
Mg1 0.0000 0.0000 0.5000 1
Al1 0.0000 0.0000 0.0000 1
Al2 0.0000 0.5000 0.6502 1
Al3 0.5000 0.5000 0.0000 1
Pd1 0.0000 0.5000 0.8662 1
Pd2 0.5000 0.5000 0.5000 1

---

[13]
# HoMgAl2Pd2 PBE relaxed
# E (eV/atom): -4.735
# Formation enthalpy at 0 K (kJ per mole of atoms): -70.2
data_HoMgAl2Pd2
_chemical_formula_sum 'Ho1 Mg1 Al2 Pd2'
_symmetry_space_group_name_H-M 'P -3 m 1'
_symmetry_Int_Tables_number 164
_symmetry_space_group_name_Hall '-P 3 2"'
_cell_length_a 4.4345
_cell_length_b 4.4345
_cell_length_c 6.5259
_cell_angle_alpha 90.00
_cell_angle_beta 90.00
_cell_angle_gamma 120.00
loop_
_atom_site_label
_atom_site_fract_x
_atom_site_fract_y
_atom_site_fract_z
_atom_site_occupancy
Ho1 0.0000 0.0000 0.0000 1
Mg1 0.0000 0.0000 0.5000 1
Al1 0.3333 0.6667 0.7046 1
Pd1 0.3333 0.6667 0.2849 1

---

[14]
# Ho2MgAl2Pd5 PBE relaxed
# E (eV/atom): -5.210
# Formation enthalpy at 0 K (kJ per mole of atoms): -76.2
data_Ho2MgAl2Pd5
_chemical_formula_sum 'Ho4 Mg2 Al4 Pd10'
_symmetry_space_group_name_H-M 'P 4/m b m'
_symmetry_Int_Tables_number 127
_symmetry_space_group_name_Hall '-P 4 2ab'
_cell_length_a 10.1969
_cell_length_b 10.1969
_cell_length_c 3.4963
_cell_angle_alpha 90.00
_cell_angle_beta 90.00
_cell_angle_gamma 90.00
loop_
_atom_site_label
_atom_site_fract_x
_atom_site_fract_y
_atom_site_fract_z
_atom_site_occupancy
Ho1 0.1750 0.3250 0.0000 1
Mg1 0.0000 0.0000 0.0000 1
Al1 0.1246 0.6246 0.0000 1
Pd1 0.0000 0.5000 0.5000 1
Pd2 0.0611 0.7912 0.5000 1

---

[15]
# HoMgAl2Pd4 PBE relaxed
# E (eV/atom): -5.137
# Formation enthalpy at 0 K (kJ per mole of atoms): -80.4
data_HoMgAl2Pd4
_chemical_formula_sum 'Ho3 Mg3 Al6 Pd12'
_symmetry_space_group_name_H-M 'R -3 m'
_symmetry_Int_Tables_number 166
_symmetry_space_group_name_Hall '-R 3 2"'
_cell_length_a 4.4229
_cell_length_b 4.4229
_cell_length_c 23.9618
_cell_angle_alpha 90.00
_cell_angle_beta 90.00
_cell_angle_gamma 120.00
loop_
_atom_site_label
_atom_site_fract_x
_atom_site_fract_y
_atom_site_fract_z
_atom_site_occupancy
Ho1 0.0000 0.0000 0.0000 1
Mg1 0.0000 0.0000 0.5000 1
Al1 0.0000 0.0000 0.2419 1
Pd1 0.0000 0.0000 0.1261 1
Pd2 0.0000 0.0000 0.3922 1

---

[16]
# PmHoMgAl PBE relaxed
# E (eV/atom): -3.933
# Formation enthalpy at 0 K (kJ per mole of atoms): -25.8
data_PmHoMgAl
_chemical_formula_sum 'Pm4 Ho4 Mg4 Al4'
_symmetry_space_group_name_H-M 'F -4 3 m'
_symmetry_Int_Tables_number 216
_symmetry_space_group_name_Hall 'F -4 2 3'
_cell_length_a 7.4276
_cell_length_b 7.4276
_cell_length_c 7.4276
_cell_angle_alpha 90.00
_cell_angle_beta 90.00
_cell_angle_gamma 90.00
loop_
_atom_site_label
_atom_site_fract_x
_atom_site_fract_y
_atom_site_fract_z
_atom_site_occupancy
Pm1 0.0000 0.0000 0.0000 1
Ho1 0.0000 0.0000 0.5000 1
Mg1 0.2500 0.2500 0.2500 1
Al1 0.2500 0.2500 0.7500 1

---

[17]
# PrHoMgAl PBE relaxed
# E (eV/atom): -3.930
# Formation enthalpy at 0 K (kJ per mole of atoms): -24.7
data_PrHoMgAl
_chemical_formula_sum 'Pr4 Ho4 Mg4 Al4'
_symmetry_space_group_name_H-M 'F -4 3 m'
_symmetry_Int_Tables_number 216
_symmetry_space_group_name_Hall 'F -4 2 3'
_cell_length_a 7.4842
_cell_length_b 7.4842
_cell_length_c 7.4842
_cell_angle_alpha 90.00
_cell_angle_beta 90.00
_cell_angle_gamma 90.00
loop_
_atom_site_label
_atom_site_fract_x
_atom_site_fract_y
_atom_site_fract_z
_atom_site_occupancy
Pr1 0.0000 0.0000 0.0000 1
Ho1 0.0000 0.0000 0.5000 1
Mg1 0.2500 0.2500 0.7500 1
Al1 0.2500 0.2500 0.2500 1

---

[18]
# Ho2MgAl2Pt5 PBE relaxed
# E (eV/atom): -5.865
# Formation enthalpy at 0 K (kJ per mole of atoms): -98.5
data_Ho2MgAl2Pt5
_chemical_formula_sum 'Ho4 Mg2 Al4 Pt10'
_symmetry_space_group_name_H-M 'P 4/m b m'
_symmetry_Int_Tables_number 127
_symmetry_space_group_name_Hall '-P 4 2ab'
_cell_length_a 9.8096
_cell_length_b 9.8096
_cell_length_c 3.7019
_cell_angle_alpha 90.00
_cell_angle_beta 90.00
_cell_angle_gamma 90.00
loop_
_atom_site_label
_atom_site_fract_x
_atom_site_fract_y
_atom_site_fract_z
_atom_site_occupancy
Ho1 0.1763 0.3237 0.0000 1
Mg1 0.0000 0.0000 0.0000 1
Al1 0.1223 0.6223 0.0000 1
Pt1 0.0000 0.5000 0.5000 1
Pt2 0.0668 0.7909 0.5000 1

---

[19]
# HoMgAlPt PBE relaxed
# E (eV/atom): -4.661
# Formation enthalpy at 0 K (kJ per mole of atoms): -64.8
data_HoMgAlPt
_chemical_formula_sum 'Ho4 Mg4 Al4 Pt4'
_symmetry_space_group_name_H-M 'F -4 3 m'
_symmetry_Int_Tables_number 216
_symmetry_space_group_name_Hall 'F -4 2 3'
_cell_length_a 6.7769
_cell_length_b 6.7769
_cell_length_c 6.7769
_cell_angle_alpha 90.00
_cell_angle_beta 90.00
_cell_angle_gamma 90.00
loop_
_atom_site_label
_atom_site_fract_x
_atom_site_fract_y
_atom_site_fract_z
_atom_site_occupancy
Ho1 0.0000 0.0000 0.0000 1
Mg1 0.0000 0.0000 0.5000 1
Al1 0.2500 0.2500 0.7500 1
Pt1 0.2500 0.2500 0.2500 1

---

[20]
# HoMgAl2Pt2 PBE relaxed
# E (eV/atom): -5.276
# Formation enthalpy at 0 K (kJ per mole of atoms): -95.1
data_HoMgAl2Pt2
_chemical_formula_sum 'Ho1 Mg1 Al2 Pt2'
_symmetry_space_group_name_H-M 'P -3 m 1'
_symmetry_Int_Tables_number 164
_symmetry_space_group_name_Hall '-P 3 2"'
_cell_length_a 4.4104
_cell_length_b 4.4104
_cell_length_c 6.5059
_cell_angle_alpha 90.00
_cell_angle_beta 90.00
_cell_angle_gamma 120.00
loop_
_atom_site_label
_atom_site_fract_x
_atom_site_fract_y
_atom_site_fract_z
_atom_site_occupancy
Ho1 0.0000 0.0000 0.0000 1
Mg1 0.0000 0.0000 0.5000 1
Al1 0.3333 0.6667 0.6969 1
Pt1 0.3333 0.6667 0.2763 1

---

[21]
# HoMgAl2Pt4 PBE relaxed
# E (eV/atom): -5.756
# Formation enthalpy at 0 K (kJ per mole of atoms): -99.3
data_HoMgAl2Pt4
_chemical_formula_sum 'Ho3 Mg3 Al6 Pt12'
_symmetry_space_group_name_H-M 'R -3 m'
_symmetry_Int_Tables_number 166
_symmetry_space_group_name_Hall '-R 3 2"'
_cell_length_a 4.3313
_cell_length_b 4.3313
_cell_length_c 25.2709
_cell_angle_alpha 90.00
_cell_angle_beta 90.00
_cell_angle_gamma 120.00
loop_
_atom_site_label
_atom_site_fract_x
_atom_site_fract_y
_atom_site_fract_z
_atom_site_occupancy
Ho1 0.0000 0.0000 0.0000 1
Mg1 0.0000 0.0000 0.5000 1
Al1 0.0000 0.0000 0.2414 1
Pt1 0.0000 0.0000 0.1300 1
Pt2 0.0000 0.0000 0.3982 1